# CrRu2O

A relaxed structure of CrRu2O (PBE with a Hubbard U, Alexandria).

The space group is I-42d (No. 122) and the conventional cell measures 4.9434, 4.9434 and 9.8595 Å, with angles of 90.00, 90.00 and 90.00 degrees. The asymmetric unit holds Cr at (0.0000, 0.0000, 0.0000), Ru at (0.1989, 0.2500, 0.6250) and O at (0.0000, 0.0000, 0.5000).

The value obtained for the raw total energy is -6.894 eV/atom. The calculation puts the volume at 241 Å³/cell.